VASP calculation (PBE) on a relaxed KRb2InF6 crystal.

Calculated values
* energy: -4.457 eV/atom
* DOS(E_F): 0.00 states/eV/cell

Cell and atoms, written as CIF:
```
data_KRb2InF6
_chemical_formula_sum 'K2 Rb4 In2 F12'
_cell_length_a 6.4923
_cell_length_b 6.6114
_cell_length_c 11.2804
_cell_angle_alpha 90.00
_cell_angle_beta 125.15
_cell_angle_gamma 90.00
_symmetry_space_group_name_H-M 'P 1 21/c 1'
_symmetry_Int_Tables_number 14
_symmetry_space_group_name_Hall '-P 2ybc'
loop_
_atom_site_label
_atom_site_fract_x
_atom_site_fract_y
_atom_site_fract_z
K1 0.0000 0.0000 0.0000
Rb1 0.2578 0.0388 0.7492
In1 0.5000 0.0000 0.5000
F1 0.2011 0.0293 0.2778
F2 0.2729 0.6833 0.0356
F3 0.3661 0.2392 0.0456
```